Record 1
First-principles (PBE-GGA) data for crystalline ScCuNiGe at its relaxed geometry, as listed in the Open Quantum Materials Database.

a = 4.359 Å, b = 4.359 Å, c = 4.359 Å
α = 60.00°, β = 60.00°, γ = 60.00°
Fractional positions:
Cu  0.000  0.000  0.000
Ge  0.250  0.250  0.250
Ni  0.750  0.750  0.750
Sc  0.500  0.500  0.500

Calculated values
* symmetry: F-43m, No. 216
* distance to the lowest polymorph of the same formula: 143 meV per atom



Record 2
First-principles (PBE-GGA) data for crystalline AcNp at its relaxed geometry, as listed in the Open Quantum Materials Database.

a = 4.746 Å, b = 4.746 Å, c = 4.746 Å
α = 60.00°, β = 60.00°, γ = 60.00°
Site moments in Bohr magnetons follow the coordinates.
Fractional positions:
Ac  0.000  0.000  0.000  0.35
Np  0.500  0.500  0.500  4.47

Calculated values
* symmetry: Fm-3m, No. 225
* formation enthalpy at 0 K: 2.64 eV/f.u.
* distance to the lowest polymorph of the same formula: 605 meV per atom



Record 3
First-principles (PBE-GGA) data for crystalline BeAlTlNi at its relaxed geometry, as listed in the Open Quantum Materials Database.

a = 4.430 Å, b = 4.430 Å, c = 4.430 Å
α = 60.00°, β = 60.00°, γ = 60.00°
Fractional positions:
Al  0.000  0.000  0.000
Be  0.750  0.750  0.750
Ni  0.500  0.500  0.500
Tl  0.250  0.250  0.250

Calculated values
* symmetry: F-43m, No. 216
* distance to the lowest polymorph of the same formula: 134 meV per atom



Record 4
First-principles (PBE-GGA) data for crystalline NbBi2Au at its relaxed geometry, as listed in the Open Quantum Materials Database.

a = 5.105 Å, b = 5.105 Å, c = 5.105 Å
α = 60.00°, β = 60.00°, γ = 60.00°
Site moments in Bohr magnetons follow the coordinates.
Fractional positions:
Au  0.250  0.250  0.250  0.01
Bi  0.000  0.000  0.000  -0.03
Bi  0.750  0.750  0.750  -0.04
Nb  0.500  0.500  0.500  0.98

Calculated values
* electronic total energy: -0.178 Ha/atom
* symmetry: F-43m, No. 216



Record 5
First-principles (PBE-GGA) data for crystalline DyClO at its relaxed geometry, as listed in the Open Quantum Materials Database.

a = 6.530 Å, b = 5.584 Å, c = 5.528 Å
α = 90.00°, β = 90.25°, γ = 90.00°
Fractional positions:
Cl  0.377  0.527  0.250
Cl  0.623  0.027  0.250
Cl  0.377  0.973  0.750
Cl  0.623  0.473  0.750
Dy  0.831  0.494  0.249
Dy  0.169  0.994  0.251
Dy  0.831  0.006  0.749
Dy  0.169  0.506  0.751
O  0.009  0.250  0.000
O  0.991  0.750  0.000
O  0.991  0.750  0.500
O  0.009  0.250  0.500

Calculated values
* electronic total energy: -0.253 Ha/atom
* symmetry: P2_1/c, No. 14



Record 6
First-principles (PBE-GGA) data for crystalline InCuGeS3 at its relaxed geometry, as listed in the Open Quantum Materials Database.

a = 6.366 Å, b = 6.366 Å, c = 10.344 Å
α = 90.00°, β = 90.00°, γ = 33.39°
Fractional positions:
Cu  0.522  0.522  0.250
Cu  0.478  0.478  0.750
Ge  0.000  0.000  0.000
Ge  0.000  0.000  0.500
In  0.234  0.234  0.250
In  0.766  0.766  0.750
S  0.639  0.639  0.075
S  0.898  0.898  0.250
S  0.639  0.639  0.425
S  0.361  0.361  0.575
S  0.102  0.102  0.750
S  0.361  0.361  0.925

Calculated values
* symmetry: Cmcm, No. 63
* distance to the lowest polymorph of the same formula: 35 meV per atom